# 1
Compound: TcOs
Source: Alexandria
Functional: PBE-GGA
Structure: relaxed

## Properties
- energy relative to the elements (eV per atom) = -0.07
- calculated volume (Å³ per atom) = 14.4
- offset from the most stable computed form (eV/atom) = 0.0123
- N(E_F) (states/eV per cell) = 10.3
- density (g cm⁻³) = 16.622
- crystal system = monoclinic

Cell: 9.978 2.752 6.475 Å, 90.00 103.66 90.00°
Space group Cm (No. 8)
Symmetry-distinct sites (fractional):
Tc  0.000  0.000  0.000 [2 per cell]
Tc  0.056  0.000  0.614 [2 per cell]
Tc  0.387  0.000  0.280 [2 per cell]
Os  0.166  0.500  0.335 [2 per cell]
Os  0.223  0.500  0.947 [2 per cell]
Os  0.331  0.000  0.668 [2 per cell]

# 2
Compound: K4U3AgTe8
Source: Alexandria
Functional: PBE-GGA
Structure: relaxed

## Properties
- E_tot (eV/atom) = -4.93
- calculated volume (Å³ per atom) = 36.2
- N(E_F) (states/eV per cell) = 40.2
- density (g cm⁻³) = 5.738
- crystal system = trigonal

Cell: 9.0259 9.0259 24.5936 Å, 90.00 90.00 120.00°
Space group R-3m (No. 166, hexagonal axes)
Symmetry-distinct sites (fractional):
K  0.0000  0.0000  0.0000 [3 per cell]
K  0.0000  0.5000  0.0000 [9 per cell]
U  0.0000  0.5000  0.5000 [9 per cell]
Ag  0.0000  0.0000  0.5000 [3 per cell]
Te  0.0000  0.0000  0.2371 [6 per cell]
Te  0.0042  0.5021  0.7649 [18 per cell]

# 3
Compound: BeRe2Mo
Source: Alexandria
Functional: PBE-GGA
Structure: relaxed

## Properties
- energy relative to the elements (eV per atom) = 0.09
- calculated volume (Å³ per atom) = 14.0
- N(E_F) (states/eV per cell) = 5.1
- density (g cm⁻³) = 14.177
- crystal system = orthorhombic

Cell: 3.083 4.311 8.414 Å, 90.00 90.00 90.00°
Space group Immm (No. 71)
Symmetry-distinct sites (fractional):
Be  0.000  0.000  0.000 [2 per cell]
Re  0.000  0.500  0.252 [4 per cell]
Mo  0.000  0.000  0.500 [2 per cell]